Density functional theory data (SCAN) for a crystal of AlAg2 relaxed with PBEsol.

Calculated values
- Density: 8.31 Mg/m³
- Raw total energy: -70.7 eV/f.u.
- E_form: -0.088 eV/atom

CIF file:
```
data_AlAg2
_cell_length_a 8.109
_cell_length_b 2.981
_cell_length_c 8.548
_cell_angle_alpha 90.00
_cell_angle_beta 110.23
_cell_angle_gamma 90.00
_space_group_name_H-M_alt 'P 1 m 1'
_space_group_IT_number 6
loop_
_space_group_symop_operation_xyz
'x,y,z'
'x,-y,z'
loop_
_atom_site_label
_atom_site_type_symbol
_atom_site_fract_x
_atom_site_fract_y
_atom_site_fract_z
_atom_site_occupancy
Al1 Al 0.000 0.000 0.000 1
Al2 Al 0.015 0.000 0.666 1
Al3 Al 0.265 0.500 0.258 1
Al4 Al 0.517 0.000 0.169 1
Ag1 Ag 0.022 0.000 0.326 1
Ag2 Ag 0.250 0.500 0.934 1
Ag3 Ag 0.253 0.500 0.591 1
Ag4 Ag 0.503 0.000 0.490 1
Ag5 Ag 0.505 0.000 0.836 1
Ag6 Ag 0.757 0.500 0.084 1
Ag7 Ag 0.768 0.500 0.751 1
Ag8 Ag 0.772 0.500 0.422 1
```